Entry 1:
ThAgH8Ir2 after structural relaxation, computed with PBE.

DFT total energy: -56.15 eV for the cell shown
DOS(E_F): 0.216 states/eV/atom

abc: 4.3577 4.9183 6.4781
angles: 62.31 70.35 63.70
Fractional positions:
Ir1 0.2734 0.2917 0.1615
Ir2 0.7266 0.7083 0.8385
H1 0.5711 0.0411 0.3330
H2 0.0725 0.5243 0.3308
H3 0.2755 0.5677 0.8813
H4 0.9275 0.4757 0.6692
H5 0.0549 0.0411 0.3330
H6 0.4289 0.9589 0.6670
H7 0.9451 0.9589 0.6670
H8 0.7245 0.4323 0.1187
Ag1 0.0000 0.0000 0.0000
Th1 0.5000 0.5000 0.5000

Entry 2:
Y2AgHIr after structural relaxation, computed with PBE.

DFT total energy: -30.64 eV for the cell shown
DOS(E_F): 0.577 states/eV/atom

abc: 5.0493 5.0493 3.5934
angles: 90.00 90.00 90.00
Fractional positions:
Ag1 0.5000 0.5000 0.5000
Y1 0.0000 0.5000 0.0000
Y2 0.5000 0.0000 0.0000
Ir1 0.0000 0.0000 0.5000
H1 0.0000 0.0000 0.0000

Entry 3:
Zn2AgHIr after structural relaxation, computed with PBE.

DFT total energy: -17.44 eV for the cell shown
DOS(E_F): 0.392 states/eV/atom

abc: 4.2519 4.2519 3.5285
angles: 90.00 90.00 90.00
Fractional positions:
Ag1 0.5000 0.5000 0.5000
H1 0.0000 0.0000 0.0000
Zn1 0.5000 0.0000 0.0000
Zn2 0.0000 0.5000 0.0000
Ir1 0.0000 0.0000 0.5000